{"formula": "AlP", "functional": "PBE", "state": "optimized geometry", "dft_energy_ev_per_atom": -4.99, "sg": "P-1", "ef_mev_per_atom": -415, "volume_a3_per_cell": 95.4, "lattice": [[-2.8266, 2.7099, 0.3145], [-2.8630, -0.4470, 2.6543], [2.1832, 4.3520, 5.6183]], "species": ["P", "P", "Al", "Al"], "fractional_positions": [[0.7551, 0.2749, 0.7244], [0.2449, 0.7251, 0.2756], [0.8790, 0.3673, 0.3693], [0.1210, 0.6327, 0.6307]]}

***

{"formula": "Al2P", "functional": "PBE", "state": "optimized geometry", "dft_energy_ev_per_atom": -4.39, "sg": "C2/m", "ef_mev_per_atom": -94, "dos_at_fermi_per_ev_atom": 0.463, "volume_a3_per_cell": 104.9, "lattice": [[1.7746, 5.7988, -0.2207], [-1.7746, 5.7988, -0.2207], [0.0000, 0.7439, 5.0695]], "species": ["Al", "Al", "Al", "Al", "P", "P"], "fractional_positions": [[0.6633, 0.6633, 0.7803], [0.9636, 0.9636, 0.7621], [0.0364, 0.0364, 0.2379], [0.3367, 0.3367, 0.2197], [0.3227, 0.3227, 0.7187], [0.6773, 0.6773, 0.2813]]}